{"formula": "Na3Pu2BiSe6", "functional": "GGA-PBE", "state": "relaxed", "lattice": [[-2.3936, -2.5793, -6.4122], [6.9714, 2.0903, 0.7273], [0.2177, -6.3235, 3.8503]], "species": ["Na", "Na", "Na", "Pu", "Pu", "Bi", "Se", "Se", "Se", "Se", "Se", "Se"], "frac_coords": [[0.1627, 0.8373, 0.5000], [0.8373, 0.1627, 0.5000], [0.5000, 0.5000, 0.5000], [0.3329, 0.6671, 0.0000], [0.6671, 0.3329, 0.0000], [0.0000, 0.0000, 0.0000], [0.9221, 0.5826, 0.7665], [0.7379, 0.7379, 0.2330], [0.0779, 0.4174, 0.2335], [0.5826, 0.9221, 0.7665], [0.2621, 0.2621, 0.7670], [0.4174, 0.0779, 0.2335]], "dft_energy_ev_per_atom": -5.965, "density_g_cm3": 6.35, "space_group": "No. 12"}



{"formula": "ZnF", "functional": "GGA-PBE", "state": "relaxed", "lattice": [[-2.2727, -0.3373, 2.0539], [2.6493, -3.4718, 2.3614], [4.7416, 8.0906, 6.5754]], "species": ["Zn", "Zn", "Zn", "Zn", "Zn", "Zn", "F", "F", "F", "F", "F", "F"], "frac_coords": [[0.0000, 0.6488, 0.8079], [0.5000, 0.3512, 0.6921], [0.5000, 0.3512, 0.3079], [0.0000, 0.6488, 0.1921], [0.0000, 0.7996, 0.5000], [0.5000, 0.2004, 0.0000], [0.0000, 0.0687, 0.6356], [0.5000, 0.9313, 0.8644], [0.5000, 0.9313, 0.1356], [0.0000, 0.0687, 0.3644], [0.0000, 0.4879, 0.0000], [0.5000, 0.5121, 0.5000]], "dft_energy_ev_per_atom": -3.038, "density_g_cm3": 4.80, "space_group": "No. 59"}



{"formula": "NdSm3Th2P6", "functional": "GGA-PBE", "state": "relaxed", "lattice": [[-4.4580, -2.4593, 5.0392], [7.0841, -0.6199, 0.8646], [-0.7234, 7.0159, 1.0913]], "species": ["Nd", "Sm", "Sm", "Sm", "Th", "Th", "P", "P", "P", "P", "P", "P"], "frac_coords": [[0.0000, 0.0000, 0.0000], [0.1657, 0.8343, 0.5000], [0.8343, 0.1657, 0.5000], [0.5000, 0.5000, 0.5000], [0.3331, 0.6669, 0.0000], [0.6669, 0.3331, 0.0000], [0.9165, 0.5802, 0.7497], [0.7471, 0.7471, 0.2507], [0.0835, 0.4198, 0.2503], [0.5802, 0.9165, 0.7497], [0.2529, 0.2529, 0.7493], [0.4198, 0.0835, 0.2503]], "ef_ev_per_atom": -1.59, "density_g_cm3": 6.92, "space_group": "No. 12"}



{"formula": "CsAg3Sn6", "functional": "GGA-PBE", "state": "relaxed", "lattice": [[-1.8734, 2.6726, -6.7397], [-7.7197, -3.2180, 0.8697], [0.9123, 8.9655, 3.3017]], "species": ["Cs", "Cs", "Ag", "Ag", "Ag", "Ag", "Ag", "Ag", "Sn", "Sn", "Sn", "Sn", "Sn", "Sn", "Sn", "Sn", "Sn", "Sn", "Sn", "Sn"], "frac_coords": [[0.5000, 0.5000, 0.5000], [0.0000, 0.0000, 0.0000], [0.8216, 0.8080, 0.5243], [0.5000, 0.0000, 0.5000], [0.1784, 0.1920, 0.4757], [0.6784, 0.3080, 0.0243], [0.0000, 0.5000, 0.0000], [0.3216, 0.6920, 0.9757], [0.1893, 0.8982, 0.6322], [0.0477, 0.5459, 0.6833], [0.3491, 0.3068, 0.7861], [0.6509, 0.6932, 0.2139], [0.9523, 0.4541, 0.3167], [0.8107, 0.1018, 0.3678], [0.3107, 0.3982, 0.1322], [0.4523, 0.0459, 0.1833], [0.1509, 0.8068, 0.2861], [0.8491, 0.1932, 0.7139], [0.5477, 0.9541, 0.8167], [0.6893, 0.6018, 0.8678]], "ef_ev_per_atom": 0.05, "density_g_cm3": 7.04, "space_group": "No. 14"}



{"formula": "LaAg2Os", "functional": "GGA-PBE", "state": "relaxed", "lattice": [[4.0594, 0.8437, 0.0000], [-0.8434, 4.0594, 0.0000], [0.0000, 0.0000, 4.7036]], "species": ["Os", "Ag", "Ag", "La"], "frac_coords": [[0.0000, 0.5000, 0.5000], [0.0000, 0.0000, 0.0000], [0.5000, 0.5000, 0.0000], [0.5000, 0.0000, 0.5000]], "ef_ev_per_atom": 0.25, "density_g_cm3": 11.19, "space_group": "No. 123", "e_above_lowest_polymorph_ev_per_fu": 0.16}



{"formula": "Ho4Zr", "functional": "GGA-PBE", "state": "relaxed", "lattice": [[-4.2463, -0.0309, -0.8018], [-0.2186, -4.1104, 1.3160], [-3.7120, 0.4852, 7.9942]], "species": ["Ho", "Ho", "Ho", "Ho", "Zr"], "frac_coords": [[0.7500, 0.2500, 0.5000], [0.2500, 0.7500, 0.5000], [0.4097, 0.4097, 0.1805], [0.5903, 0.5903, 0.8195], [0.0000, 0.0000, 0.0000]], "ef_ev_per_atom": 0.52, "density_g_cm3": 8.06, "space_group": "No. 139", "e_above_lowest_polymorph_ev_per_fu": 0.00}